! PBE Er2AlSiPt6, optimized geometry; values from VASP
! spin magnetization: 0.000 μB per formula unit
! ΔE_f (raw): -0.96 eV/atom
&SYSTEM
  ibrav = 0, nat = 10, ntyp = 4
/
ATOMIC_SPECIES
Er 167.26 Er.upf
Al 26.98 Al.upf
Si 28.09 Si.upf
Pt 195.08 Pt.upf
CELL_PARAMETERS angstrom
2.791 1.611 7.340
-2.791 1.611 7.340
0.000 -3.223 7.340
ATOMIC_POSITIONS crystal
Er 0.205 0.205 0.205
Er 0.795 0.795 0.795
Al 0.500 0.500 0.500
Si 0.000 0.000 0.000
Pt 0.248 0.248 0.744
Pt 0.248 0.744 0.248
Pt 0.256 0.752 0.752
Pt 0.744 0.248 0.248
Pt 0.752 0.256 0.752
Pt 0.752 0.752 0.256

***

! PBE Er3AlSi2Pt9, optimized geometry; values from VASP
! spin magnetization: 0.000 μB per formula unit
! ΔE_f (raw): -0.78 eV/atom
&SYSTEM
  ibrav = 0, nat = 15, ntyp = 4
/
ATOMIC_SPECIES
Er 167.26 Er.upf
Al 26.98 Al.upf
Si 28.09 Si.upf
Pt 195.08 Pt.upf
CELL_PARAMETERS angstrom
6.325 0.000 0.000
-3.163 5.478 0.000
0.000 0.000 8.899
ATOMIC_POSITIONS crystal
Er 0.000 0.000 0.000
Er 0.333 0.667 0.726
Er 0.667 0.333 0.274
Al 0.000 0.000 0.500
Si 0.333 0.667 0.183
Si 0.667 0.333 0.817
Pt 0.000 0.500 0.000
Pt 0.142 0.284 0.278
Pt 0.142 0.858 0.278
Pt 0.284 0.142 0.722
Pt 0.500 0.000 0.000
Pt 0.500 0.500 0.000
Pt 0.716 0.858 0.278
Pt 0.858 0.142 0.722
Pt 0.858 0.716 0.722

***

! PBE Sm2ErAl4Pt3, optimized geometry; values from VASP
! energy of formation from the pure elements: -0.9259 eV/atom
! spin magnetization: 0.000 μB per formula unit
&SYSTEM
  ibrav = 0, nat = 10, ntyp = 4
/
ATOMIC_SPECIES
Sm 150.36 Sm.upf
Er 167.26 Er.upf
Al 26.98 Al.upf
Pt 195.08 Pt.upf
CELL_PARAMETERS angstrom
4.228 0.000 0.000
0.000 4.228 0.000
0.000 0.000 11.550
ATOMIC_POSITIONS crystal
Sm 0.000 0.500 0.228
Sm 0.500 0.000 0.772
Er 0.000 0.000 0.500
Al 0.000 0.000 0.000
Al 0.000 0.500 0.667
Al 0.500 0.000 0.333
Al 0.500 0.500 0.000
Pt 0.000 0.500 0.878
Pt 0.500 0.000 0.122
Pt 0.500 0.500 0.500

***

! PBE Er2TiAl2Pt5, optimized geometry; values from VASP
! energy of formation from the pure elements: -1.0479 eV/atom
! spin magnetization: 0.000 μB per formula unit
&SYSTEM
  ibrav = 0, nat = 20, ntyp = 4
/
ATOMIC_SPECIES
Er 167.26 Er.upf
Ti 47.87 Ti.upf
Al 26.98 Al.upf
Pt 195.08 Pt.upf
CELL_PARAMETERS angstrom
9.974 0.000 0.000
0.000 9.974 0.000
0.000 0.000 3.554
ATOMIC_POSITIONS crystal
Er 0.175 0.325 0.000
Er 0.325 0.825 0.000
Er 0.675 0.175 0.000
Er 0.825 0.675 0.000
Ti 0.000 0.000 0.000
Ti 0.500 0.500 0.000
Al 0.126 0.626 0.000
Al 0.374 0.126 0.000
Al 0.626 0.874 0.000
Al 0.874 0.374 0.000
Pt 0.000 0.500 0.500
Pt 0.052 0.798 0.500
Pt 0.202 0.052 0.500
Pt 0.298 0.552 0.500
Pt 0.448 0.298 0.500
Pt 0.500 0.000 0.500
Pt 0.552 0.702 0.500
Pt 0.702 0.448 0.500
Pt 0.798 0.948 0.500
Pt 0.948 0.202 0.500

***

! PBE Er2TiAl4Pt3, optimized geometry; values from VASP
! energy of formation from the pure elements: -0.9231 eV/atom
! spin magnetization: 0.000 μB per formula unit
&SYSTEM
  ibrav = 0, nat = 10, ntyp = 4
/
ATOMIC_SPECIES
Er 167.26 Er.upf
Ti 47.87 Ti.upf
Al 26.98 Al.upf
Pt 195.08 Pt.upf
CELL_PARAMETERS angstrom
4.078 0.000 0.000
0.000 4.078 0.000
0.000 0.000 11.220
ATOMIC_POSITIONS crystal
Er 0.000 0.500 0.249
Er 0.500 0.000 0.751
Ti 0.000 0.000 0.500
Al 0.000 0.000 0.000
Al 0.000 0.500 0.646
Al 0.500 0.000 0.354
Al 0.500 0.500 0.000
Pt 0.000 0.500 0.866
Pt 0.500 0.000 0.134
Pt 0.500 0.500 0.500

***

! PBE ErAlZnPt3, optimized geometry; values from VASP
! energy of formation from the pure elements: -0.7123 eV/atom
! spin magnetization: 0.000 μB per formula unit
&SYSTEM
  ibrav = 0, nat = 12, ntyp = 4
/
ATOMIC_SPECIES
Er 167.26 Er.upf
Al 26.98 Al.upf
Zn 65.41 Zn.upf
Pt 195.08 Pt.upf
CELL_PARAMETERS angstrom
3.376 -5.887 0.000
3.376 5.887 0.000
0.000 0.000 5.646
ATOMIC_POSITIONS crystal
Er 0.193 0.807 0.750
Er 0.807 0.193 0.250
Al 0.130 0.870 0.250
Al 0.870 0.130 0.750
Zn 0.438 0.562 0.750
Zn 0.562 0.438 0.250
Pt 0.209 0.209 0.000
Pt 0.209 0.209 0.500
Pt 0.332 0.668 0.250
Pt 0.668 0.332 0.750
Pt 0.791 0.791 0.000
Pt 0.791 0.791 0.500

***

! PBE Er2Al2ZnPt5, optimized geometry; values from VASP
! energy of formation from the pure elements: -0.9478 eV/atom
! spin magnetization: 0.000 μB per formula unit
&SYSTEM
  ibrav = 0, nat = 20, ntyp = 4
/
ATOMIC_SPECIES
Er 167.26 Er.upf
Al 26.98 Al.upf
Zn 65.41 Zn.upf
Pt 195.08 Pt.upf
CELL_PARAMETERS angstrom
9.752 0.000 0.000
0.000 9.752 0.000
0.000 0.000 3.660
ATOMIC_POSITIONS crystal
Er 0.176 0.324 0.000
Er 0.324 0.824 0.000
Er 0.676 0.176 0.000
Er 0.824 0.676 0.000
Al 0.123 0.623 0.000
Al 0.377 0.123 0.000
Al 0.623 0.877 0.000
Al 0.877 0.377 0.000
Zn 0.000 0.000 0.000
Zn 0.500 0.500 0.000
Pt 0.000 0.500 0.500
Pt 0.065 0.795 0.500
Pt 0.205 0.065 0.500
Pt 0.295 0.565 0.500
Pt 0.435 0.295 0.500
Pt 0.500 0.000 0.500
Pt 0.565 0.705 0.500
Pt 0.705 0.435 0.500
Pt 0.795 0.935 0.500
Pt 0.935 0.205 0.500

***

! PBE ErAlZnPt, optimized geometry; values from VASP
! energy of formation from the pure elements: -0.7538 eV/atom
! spin magnetization: 0.000 μB per formula unit
&SYSTEM
  ibrav = 0, nat = 4, ntyp = 4
/
ATOMIC_SPECIES
Er 167.26 Er.upf
Al 26.98 Al.upf
Zn 65.41 Zn.upf
Pt 195.08 Pt.upf
CELL_PARAMETERS angstrom
0.000 3.293 3.293
3.293 0.000 3.293
3.293 3.293 0.000
ATOMIC_POSITIONS crystal
Er 0.000 0.000 0.000
Al 0.500 0.500 0.500
Zn 0.250 0.250 0.250
Pt 0.750 0.750 0.750

***

! PBE ErAl2ZnPt4, optimized geometry; values from VASP
! energy of formation from the pure elements: -0.9644 eV/atom
! spin magnetization: 0.000 μB per formula unit
&SYSTEM
  ibrav = 0, nat = 8, ntyp = 4
/
ATOMIC_SPECIES
Er 167.26 Er.upf
Al 26.98 Al.upf
Zn 65.41 Zn.upf
Pt 195.08 Pt.upf
CELL_PARAMETERS angstrom
2.144 1.238 8.470
-2.144 1.238 8.470
0.000 -2.476 8.470
ATOMIC_POSITIONS crystal
Er 0.000 0.000 0.000
Al 0.242 0.242 0.242
Al 0.758 0.758 0.758
Zn 0.500 0.500 0.500
Pt 0.132 0.132 0.132
Pt 0.400 0.400 0.400
Pt 0.600 0.600 0.600
Pt 0.868 0.868 0.868

***

! PBE Er2Al3ZnPt4, optimized geometry; values from VASP
! energy of formation from the pure elements: -1.0340 eV/atom
! spin magnetization: 0.000 μB per formula unit
&SYSTEM
  ibrav = 0, nat = 10, ntyp = 4
/
ATOMIC_SPECIES
Er 167.26 Er.upf
Al 26.98 Al.upf
Zn 65.41 Zn.upf
Pt 195.08 Pt.upf
CELL_PARAMETERS angstrom
4.070 0.000 0.000
0.000 4.070 0.000
0.000 0.000 11.044
ATOMIC_POSITIONS crystal
Er 0.000 0.500 0.242
Er 0.500 0.000 0.758
Al 0.000 0.000 0.000
Al 0.000 0.500 0.632
Al 0.500 0.000 0.368
Zn 0.500 0.500 0.000
Pt 0.000 0.000 0.500
Pt 0.000 0.500 0.854
Pt 0.500 0.000 0.146
Pt 0.500 0.500 0.500

***

! PBE ErPuAl2, optimized geometry; values from VASP
! energy of formation from the pure elements: -0.2540 eV/atom
! spin magnetization: 5.313 μB per formula unit
&SYSTEM
  ibrav = 0, nat = 4, ntyp = 3
/
ATOMIC_SPECIES
Er 167.26 Er.upf
Pu 244.00 Pu.upf
Al 26.98 Al.upf
CELL_PARAMETERS angstrom
3.182 0.000 0.000
0.000 3.182 0.000
0.000 0.000 8.794
ATOMIC_POSITIONS crystal
Er 0.000 0.000 0.000
Pu 0.000 0.000 0.500
Al 0.500 0.500 0.248
Al 0.500 0.500 0.752

***

! PBE ErPu2Al, optimized geometry; values from VASP
! energy relative to the lowest polymorph listed for this composition: 0.000 eV/atom
! energy of formation from the pure elements: -0.0868 eV/atom
! spin magnetization: 11.702 μB per formula unit
&SYSTEM
  ibrav = 0, nat = 4, ntyp = 3
/
ATOMIC_SPECIES
Er 167.26 Er.upf
Pu 244.00 Pu.upf
Al 26.98 Al.upf
CELL_PARAMETERS angstrom
4.436 0.000 0.000
0.000 4.436 0.000
0.000 0.000 4.965
ATOMIC_POSITIONS crystal
Er 0.000 0.000 0.000
Pu 0.000 0.500 0.500
Pu 0.500 0.000 0.500
Al 0.500 0.500 0.000